Entry 1:
Entry from Alexandria via LeMat-Bulk: SrLi2AlO4 after structural relaxation (PBE-GGA).

a = 5.075 Å, b = 5.075 Å, c = 5.075 Å
α = 116.97°, β = 116.97°, γ = 95.33°
Site moments in Bohr magnetons follow the coordinates.
Fractional positions:
Sr 0.500 0.500 0.000  0.00
Li 0.750 0.250 0.500  0.00
Li 0.250 0.750 0.500  0.00
Al 0.000 0.000 0.000  -0.01
O 0.656 0.656 0.610  0.22
O 0.954 0.344 0.000  0.22
O 0.344 0.954 0.000  0.22
O 0.046 0.046 0.390  0.22

## Properties
formation energy from raw total energies = -2294.5 meV per atom

Entry 2:
Entry from Alexandria via LeMat-Bulk: TiRe2Os2 after structural relaxation (PBE-GGA).

a = 7.561 Å, b = 7.561 Å, c = 2.766 Å
α = 90.00°, β = 90.00°, γ = 90.00°
Fractional positions:
Re 0.171 0.671 0.500
Re 0.671 0.829 0.500
Re 0.829 0.329 0.500
Re 0.329 0.171 0.500
Os 0.375 0.875 0.000
Os 0.875 0.625 0.000
Os 0.625 0.125 0.000
Os 0.125 0.375 0.000
Ti 0.000 0.000 0.000
Ti 0.500 0.500 0.000

## Properties
ΔE to the lowest computed polymorph = 0.0 meV per atom

Entry 3:
Entry from Alexandria via LeMat-Bulk: BaHg2Ir after structural relaxation (PBE-GGA).

a = 4.648 Å, b = 5.214 Å, c = 5.189 Å
α = 71.27°, β = 90.00°, γ = 90.00°
Fractional positions:
Ir 0.500 0.250 0.250
Hg 0.000 0.073 0.075
Hg 0.000 0.427 0.425
Ba 0.500 0.750 0.750

## Properties
uncorrected energy = -2.819 eV/atom

Entry 4:
Entry from Alexandria via LeMat-Bulk: AcSnPt2 after structural relaxation (PBE-GGA).

a = 3.756 Å, b = 4.977 Å, c = 4.977 Å
α = 90.00°, β = 90.00°, γ = 90.00°
Fractional positions:
Ac 0.500 0.000 0.000
Sn 0.500 0.500 0.500
Pt 0.000 0.000 0.500
Pt 0.000 0.500 0.000

## Properties
uncorrected energy = -5.724 eV/atom

Entry 5:
Entry from Alexandria via LeMat-Bulk: Rb2Li3TaF12 after structural relaxation (PBE-GGA).

a = 7.899 Å, b = 7.899 Å, c = 7.899 Å
α = 53.45°, β = 53.45°, γ = 53.45°
Site moments in Bohr magnetons follow the coordinates.
Fractional positions:
Rb 0.593 0.593 0.593  0.00
Rb 0.407 0.407 0.407  0.00
Li 0.500 0.000 0.000  0.00
Li 0.000 0.500 0.000  0.00
Li 0.000 0.000 0.500  0.00
Ta 0.000 0.000 0.000  0.00
F 0.319 0.319 0.924  0.30
F 0.924 0.924 0.312  0.00
F 0.312 0.924 0.924  0.00
F 0.924 0.319 0.319  0.30
F 0.924 0.312 0.924  0.00
F 0.319 0.924 0.319  0.30
F 0.681 0.681 0.076  0.30
F 0.076 0.076 0.688  0.00
F 0.688 0.076 0.076  0.00
F 0.076 0.681 0.681  0.30
F 0.076 0.688 0.076  0.00
F 0.681 0.076 0.681  0.30

## Properties
formation energy from raw total energies = -2646.0 meV per atom

Entry 6:
Entry from Alexandria via LeMat-Bulk: CsZn3Bi3 after structural relaxation (PBE-GGA).

a = 7.863 Å, b = 7.863 Å, c = 7.863 Å
α = 90.00°, β = 90.00°, γ = 90.00°
Fractional positions:
Cs 0.500 0.500 0.500
Cs 0.000 0.000 0.000
Zn 0.250 0.000 0.500
Zn 0.000 0.500 0.250
Zn 0.500 0.750 0.000
Zn 0.750 0.000 0.500
Zn 0.000 0.500 0.750
Zn 0.500 0.250 0.000
Bi 0.000 0.250 0.500
Bi 0.000 0.750 0.500
Bi 0.500 0.000 0.750
Bi 0.750 0.500 0.000
Bi 0.500 0.000 0.250
Bi 0.250 0.500 0.000

## Properties
ΔE to the lowest computed polymorph = 0.0 meV per atom

no.,total magnetization (μB per cell)
1,1.05
2,0.00
3,0.00
4,0.00
5,2.00
6,0.00